(one)
Here is a relaxed structure of AcTb6Pm2 from Alexandria via LeMat-Bulk. Energies are from PBE.

```
9
Lattice="-3.9463 4.7583 3.1273 -6.2794 1.4905 -2.5183 -6.7874 -3.9211 5.0746" Properties=species:S:1:pos:R:3 pbc="T T T"
Ac -10.1842 -1.8172 5.2606
Tb -9.2834 1.5643 4.9860
Tb -10.3990 -0.0304 2.2469
Tb -7.3559 -0.7408 3.4820
Tb -6.0374 -0.2815 0.5039
Tb -2.8446 -1.0496 1.7717
Tb -4.8382 1.3705 3.3716
Pm -12.7795 1.7109 4.2910
Pm -7.7193 2.5628 1.7067
```

The total magnetization is 0.000 μB/atom. The calculation puts the calculated volume at 350.7 Å³/cell.

***

(two)
Here is a relaxed structure of AcTb6Pm2 from Alexandria via LeMat-Bulk. Energies are from PBE.

```
18
Lattice="-1.0885 4.1277 -4.1814 0.0761 -6.2144 -6.1545 -12.3101 6.6128 9.7325" Properties=species:S:1:pos:R:3 pbc="T T T"
Ac -0.5062 -1.0433 -5.1679
Ac -6.1551 3.3064 4.8663
Tb -9.3822 5.3236 5.4461
Tb -4.8145 2.3618 1.8356
Tb -12.0206 6.2596 7.9800
Tb -7.2894 3.9006 0.1499
Tb -2.2927 1.5924 -3.8503
Tb -10.1632 5.7289 1.7798
Tb -3.9403 -0.7975 -6.0494
Tb -8.5080 2.1643 -2.4389
Tb -1.3019 -1.7334 -8.5833
Tb -6.0331 0.6256 -0.7532
Tb -11.0298 2.9338 3.2470
Tb -3.1593 -1.2028 -2.3831
Pm -2.3732 1.8201 -0.4632
Pm -5.0217 3.2250 -2.6567
Pm -8.3008 1.3011 2.0534
Pm -10.9493 2.7060 -0.1401
```

The total magnetization is 0.000 μB/atom. The calculation puts the calculated volume at 649.0 Å³/cell.

***

Which structure is the least stable? The one labeled (one).

***

(one)
Here is a relaxed structure of AcTb2Pm6 from Alexandria via LeMat-Bulk. Energies are from PBE.

```
9
Lattice="3.6766 0.0000 0.0000 -1.8383 3.1840 0.0000 0.0000 0.0000 27.2418" Properties=species:S:1:pos:R:3 pbc="T T T"
Ac 0.0000 2.1227 0.0000
Tb 1.8383 1.0613 9.0517
Tb 1.8383 1.0613 18.1901
Pm 1.8383 1.0613 24.0576
Pm 0.0000 2.1227 11.8534
Pm 0.0000 2.1227 21.1353
Pm 0.0000 2.1227 6.1065
Pm 0.0000 2.1227 15.3884
Pm 1.8383 1.0613 3.1842
```

The total magnetization is 0.001 μB/atom. The calculation puts the calculated volume at 318.9 Å³/cell.

***

(two)
Here is a relaxed structure of AcTb2Pm6 from Alexandria via LeMat-Bulk. Energies are from PBE.

```
9
Lattice="-2.1690 -2.9712 -0.4537 6.7590 -4.2653 -4.4003 -3.0925 -1.7538 11.1502" Properties=species:S:1:pos:R:3 pbc="T T T"
Ac 0.0000 0.0000 0.0000
Tb 4.2858 -5.1628 -1.8387
Tb -2.7882 -3.8275 8.1349
Pm 0.8174 -5.0845 -0.8977
Pm 0.6801 -3.9058 7.1939
Pm 0.9736 -5.9727 4.1692
Pm -1.9760 -3.8865 4.6211
Pm 3.4736 -5.1038 1.6751
Pm 0.5239 -3.0176 2.1270
```

The total magnetization is 0.000 μB/atom. The calculation puts the calculated volume at 314.7 Å³/cell.

***

Which structure is the least stable? The one labeled (one).

***

(one)
Here is a relaxed structure of Ac2Tb12Pm5 from Alexandria via LeMat-Bulk. Energies are from PBE.

```
19
Lattice="-8.9979 -2.0416 -1.8524 6.4438 -0.6139 -6.7193 1.4072 -8.2814 2.2918" Properties=species:S:1:pos:R:3 pbc="T T T"
Ac -6.2387 -1.4155 -1.2844
Ac -2.7592 -0.6261 -0.5680
Tb -2.7710 -3.3054 -6.8019
Tb 5.2655 -6.6842 -2.8964
Tb -0.4987 -7.9921 -4.0831
Tb 3.6637 -3.7660 -4.5896
Tb 0.2549 -4.5394 -5.2914
Tb 2.6541 -6.9873 -5.1914
Tb -3.8010 -3.9496 -1.0885
Tb -4.8106 -7.1709 -1.6903
Tb -1.4018 -6.3975 -0.9885
Tb -6.4124 -4.2527 -3.3835
Tb -0.6482 -2.9448 -2.1968
Tb 1.6241 -7.6315 0.5220
Pm 1.7183 -5.5465 -2.2335
Pm 2.5744 -9.2163 -2.3477
Pm 0.7036 -4.1407 1.1459
Pm -3.7213 -1.7206 -3.9322
Pm -2.8652 -5.3903 -4.0464
```

The total magnetization is 0.000 μB/atom. The calculation puts the calculated volume at 660.1 Å³/cell.

***

(two)
Here is a relaxed structure of Ac2Tb12Pm5 from Alexandria via LeMat-Bulk. Energies are from PBE.

```
19
Lattice="6.9930 0.8217 0.0186 -2.6720 8.6450 -8.3328 0.0193 -3.6010 14.0190" Properties=species:S:1:pos:R:3 pbc="T T T"
Ac 2.7330 4.8772 5.6986
Ac 1.6073 0.9885 0.0062
Tb -0.0713 -0.4861 3.3145
Tb -0.5622 1.6515 8.5048
Tb 2.9139 5.9761 -5.1448
Tb -0.5721 4.1514 0.0910
Tb 2.6973 4.7855 -0.1770
Tb 0.9668 5.9927 2.7237
Tb 3.3736 -0.1270 2.9811
Tb 4.9124 1.7142 5.6138
Tb 1.6431 1.0802 5.8818
Tb 4.9025 4.2142 -2.8001
Tb 1.4264 -0.1104 10.8496
Tb 4.4116 6.3518 2.3903
Pm 0.3154 2.9193 3.4039
Pm 0.7380 6.6559 -2.6885
Pm 0.0097 -1.8005 7.0095
Pm 3.6023 -0.7902 8.3932
Pm 4.0250 2.9464 2.3008
```

The total magnetization is 0.000 μB/atom. The calculation puts the calculated volume at 668.5 Å³/cell.

***

Which structure is the least stable? The one labeled (two).

***

(one)
Here is a relaxed structure of AcTb4Pm3 from Alexandria via LeMat-Bulk. Energies are from PBE.

```
8
Lattice="-0.5637 -1.8472 2.9318 -4.0390 -7.4150 -3.3466 7.1712 -5.5739 -0.0310" Properties=species:S:1:pos:R:3 pbc="T T T"
Ac -0.2819 -0.9236 1.4659
Tb 3.5416 -5.4495 1.4515
Tb -0.9732 -9.3866 -1.8973
Tb 4.5469 -8.4800 -0.2647
Tb -1.9785 -6.3561 -0.1812
Pm 0.3334 -4.5518 1.4002
Pm 2.2350 -10.2843 -1.8461
Pm 1.5661 -6.4945 -1.6888
```

The total magnetization is 0.000 μB/atom. The calculation puts the calculated volume at 276.8 Å³/cell.

***

(two)
Here is a relaxed structure of AcTb4Pm3 from Alexandria via LeMat-Bulk. Energies are from PBE.

```
16
Lattice="-4.8080 -3.3252 2.5475 0.3163 -4.7861 -5.6503 7.6907 -6.5439 5.9735" Properties=species:S:1:pos:R:3 pbc="T T T"
Ac -4.7144 -3.8920 1.8060
Ac 1.7714 -9.0795 -0.7052
Tb -4.5125 -6.2363 -1.0221
Tb -2.1889 -3.4290 -0.9383
Tb 1.3511 -3.9605 -0.2611
Tb -1.0143 -6.7427 -0.3759
Tb -0.6734 -9.4867 1.9963
Tb 1.6594 -6.6730 2.0752
Tb 2.8686 -10.0465 2.6400
Tb 5.1590 -7.2006 2.6965
Pm -2.0422 -5.7569 -3.6773
Pm 1.5180 -6.2948 -3.0434
Pm -1.1508 -4.3874 2.3904
Pm -0.8337 -7.1683 4.7426
Pm 2.7252 -7.6854 5.4009
Pm 5.3328 -9.5407 -0.0805
```

The total magnetization is 0.000 μB/atom. The calculation puts the calculated volume at 554.5 Å³/cell.

***

Which structure is the least stable? The one labeled (one).

***

(one)
Here is a relaxed structure of Ac6TbPm from Alexandria via LeMat-Bulk. Energies are from PBE.

```
8
Lattice="6.3035 0.5535 1.2108 1.0255 6.2441 1.2108 3.5820 3.3223 10.7662" Properties=species:S:1:pos:R:3 pbc="T T T"
Ac 2.6109 5.0161 4.1829
Ac 5.1980 2.2266 4.1829
Ac 5.7129 7.8932 9.0049
Ac 8.3001 5.1038 9.0049
Ac 2.3763 2.2040 1.3039
Ac 8.5346 7.9158 11.8839
Tb 0.0000 0.0000 0.0000
Pm 5.4555 5.0599 6.5939
```

The total magnetization is 0.000 μB/atom. The calculation puts the calculated volume at 371.7 Å³/cell.

***

(two)
Here is a relaxed structure of Ac6TbPm from Alexandria via LeMat-Bulk. Energies are from PBE.

```
8
Lattice="-1.0835 -4.5228 2.9463 2.8154 -3.0375 -3.6274 9.2169 1.5865 5.8250" Properties=species:S:1:pos:R:3 pbc="T T T"
Ac 0.8659 -3.7801 -0.3405
Ac 5.4743 -2.9869 2.5720
Ac 1.7731 -1.8629 2.9362
Ac 6.3602 -1.0733 5.8352
Ac 3.7226 -1.1203 -0.3507
Ac 8.3097 -0.3307 2.5484
Tb 4.6084 0.7933 2.9125
Pm 0.0000 0.0000 0.0000
```

The total magnetization is 0.000 μB/atom. The calculation puts the calculated volume at 334.0 Å³/cell.

***

Which structure is the least stable? The one labeled (one).

***

(one)
Here is a relaxed structure of Ac2Tb2Pm5 from Alexandria via LeMat-Bulk. Energies are from PBE.

```
18
Lattice="12.4014 0.0000 0.0000 0.0000 6.8829 0.0000 -6.2007 -3.4415 7.6637" Properties=species:S:1:pos:R:3 pbc="T T T"
Ac 0.0346 3.8508 1.9099
Ac 6.1661 0.4094 5.7538
Ac 6.1661 0.4094 1.9099
Ac 0.0346 3.8508 5.7538
Tb 0.0000 0.1782 0.0000
Tb 6.2007 3.6196 0.0000
Tb 0.0517 0.6255 3.8319
Tb 6.1491 4.0669 3.8319
Pm -3.0103 1.4344 6.8669
Pm 9.2110 4.8759 0.7968
Pm -3.1904 -2.0070 6.8669
Pm 9.3911 1.4344 0.7968
Pm 2.8252 -0.7927 2.2055
Pm 3.3755 2.6488 5.4582
Pm 3.3755 2.6488 2.2055
Pm 2.8252 -0.7927 5.4582
Pm -2.9526 2.8484 3.8319
Pm 9.1534 -0.5931 3.8319
```

The total magnetization is 0.000 μB/atom. The calculation puts the calculated volume at 654.2 Å³/cell.

***

(two)
Here is a relaxed structure of Ac2Tb2Pm5 from Alexandria via LeMat-Bulk. Energies are from PBE.

```
9
Lattice="-1.9675 -0.8590 -3.0016 -4.7387 -10.7788 4.0020 -7.0222 -2.2311 7.5410" Properties=species:S:1:pos:R:3 pbc="T T T"
Ac -5.4304 -8.1691 1.4320
Ac -8.2979 -5.6998 7.1093
Tb -11.0002 -12.6892 6.3935
Tb -2.7282 -1.1797 2.1478
Pm -8.1063 -9.4528 3.5799
Pm -5.6220 -4.4162 4.9614
Pm -9.6886 -9.2591 6.8054
Pm -4.0398 -4.6099 1.7359
Pm 0.0000 0.0000 0.0000
```

The total magnetization is 0.000 μB/atom. The calculation puts the calculated volume at 331.3 Å³/cell.

***

Which structure is the least stable? The one labeled (one).

***

(one)
Here is a relaxed structure of AcTb4Pm5 from Alexandria via LeMat-Bulk. Energies are from PBE.

```
10
Lattice="3.6170 0.0000 0.0000 0.0000 11.0980 1.5817 -1.8085 -0.1802 8.8583" Properties=species:S:1:pos:R:3 pbc="T T T"
Ac 1.8085 0.0000 0.0000
Tb 0.0000 9.6765 6.7282
Tb 1.8085 8.2210 9.1857
Tb 1.8085 1.2412 3.7117
Tb 0.0000 2.6968 1.2543
Pm 1.8085 6.5312 6.3585
Pm 1.8085 2.8628 6.8995
Pm 0.0000 8.0550 3.5405
Pm 1.8085 5.5490 0.7908
Pm 0.0000 4.3866 4.0815
```

The total magnetization is 0.000 μB/atom. The calculation puts the calculated volume at 356.6 Å³/cell.

***

(two)
Here is a relaxed structure of AcTb4Pm5 from Alexandria via LeMat-Bulk. Energies are from PBE.

```
10
Lattice="-0.8796 0.6270 3.5051 -3.5574 0.0020 -0.8931 -1.0784 -25.2041 4.2380" Properties=species:S:1:pos:R:3 pbc="T T T"
Ac 0.0000 0.0000 0.0000
Tb -0.2231 -5.2142 0.8767
Tb -0.4338 -10.1391 1.7049
Tb -0.6446 -15.0650 2.5331
Tb -0.8553 -19.9900 3.3613
Pm -2.3361 -2.4331 1.7680
Pm -2.5473 -7.3690 2.5980
Pm -2.7577 -12.2875 3.4250
Pm -2.9682 -17.2060 4.2520
Pm -3.1794 -22.1420 5.0820
```

The total magnetization is 0.000 μB/atom. The calculation puts the calculated volume at 344.1 Å³/cell.

***

Which structure is the least stable? The one labeled (one).

***

(one)
Here is a relaxed structure of AcTb4Pm from Alexandria via LeMat-Bulk. Energies are from PBE.

```
12
Lattice="-9.0500 -3.3443 -3.7868 1.5534 -9.6357 -0.0914 1.0266 6.9717 5.4244" Properties=species:S:1:pos:R:3 pbc="T T T"
Ac -5.1207 -7.9399 -2.4283
Ac -1.3493 1.9315 3.9746
Tb -7.4226 -2.0072 -1.5224
Tb -4.3935 -2.1915 -0.2799
Tb -7.0430 0.4281 1.0759
Tb -4.4932 2.5934 2.2905
Tb 0.9526 -4.0011 3.0687
Tb -2.0765 -3.8168 1.8262
Tb 0.5730 -6.4364 0.4703
Tb -1.9768 -8.6017 -0.7442
Pm -0.9325 -0.6935 1.1816
Pm -5.5376 -5.3149 0.3646
```

The total magnetization is 0.000 μB/atom. The calculation puts the calculated volume at 417.3 Å³/cell.

***

(two)
Here is a relaxed structure of AcTb4Pm from Alexandria via LeMat-Bulk. Energies are from PBE.

```
6
Lattice="-0.2960 -6.7031 -0.4750 2.4226 -3.0951 -5.4586 5.6314 -3.6538 0.4267" Properties=species:S:1:pos:R:3 pbc="T T T"
Ac 1.9395 -3.3630 -1.3767
Tb 2.0188 -6.5795 -3.6621
Tb 3.6356 -6.8610 -0.6967
Tb 4.8562 -8.4205 -3.4471
Tb 5.0054 -5.0431 -3.2078
Pm 0.0000 0.0000 0.0000
```

The total magnetization is 0.231 μB/atom. The calculation puts the calculated volume at 215.2 Å³/cell.

***

Which structure is the least stable? The one labeled (two).

***

(one)
Here is a relaxed structure of AcTb2Pm3 from Alexandria via LeMat-Bulk. Energies are from PBE.

```
12
Lattice="-3.0188 1.0231 6.0785 5.3419 -3.4567 2.5738 4.9952 7.1948 2.7198" Properties=species:S:1:pos:R:3 pbc="T T T"
Ac -1.1954 2.5140 6.5176
Ac 8.5137 2.2473 4.8545
Tb 3.5401 -1.1151 2.6918
Tb 5.3948 0.0745 5.5957
Tb 3.7782 5.8763 8.6802
Tb 1.9235 4.6867 5.7764
Pm 3.5108 2.3244 8.0166
Pm 4.8078 6.8366 5.3430
Pm 3.8075 2.4369 3.3554
Pm 2.5105 -2.0753 6.0290
Pm 1.6589 0.9846 5.3211
Pm 5.6594 3.7767 6.0510
```

The total magnetization is 0.000 μB/atom. The calculation puts the calculated volume at 421.1 Å³/cell.

***

(two)
Here is a relaxed structure of AcTb2Pm3 from Alexandria via LeMat-Bulk. Energies are from PBE.

```
12
Lattice="6.8288 0.0000 0.0000 0.0000 7.7606 1.2412 0.0000 -1.3757 7.7379" Properties=species:S:1:pos:R:3 pbc="T T T"
Ac 5.1216 5.7117 8.0324
Ac 1.7072 0.6732 0.9467
Tb 5.1216 3.0310 1.2267
Tb 1.7072 3.3539 7.7524
Tb 1.7072 6.2214 5.7134
Tb 5.1216 0.1635 3.2658
Pm 1.7072 2.6301 3.6988
Pm 5.1216 3.7548 5.2804
Pm 3.4144 0.9707 6.0694
Pm 0.0000 0.9707 6.0694
Pm 3.4144 5.4142 2.9098
Pm 0.0000 5.4142 2.9098
```

The total magnetization is 0.000 μB/atom. The calculation puts the calculated volume at 421.7 Å³/cell.

***

Which structure is the least stable? The one labeled (two).

***

(one)
Here is a relaxed structure of AcTb2Pm8 from Alexandria via LeMat-Bulk. Energies are from PBE.

```
11
Lattice="-0.5354 -0.0136 -5.6052 -0.0881 -8.5204 0.0291 -7.7541 4.3523 3.5582" Properties=species:S:1:pos:R:3 pbc="T T T"
Ac -0.2677 -0.0068 -2.8026
Tb -3.2735 -4.2253 0.3229
Tb -5.1041 0.0436 -2.3408
Pm -2.6682 -5.9672 -2.5588
Pm -5.7461 -1.6638 0.5529
Pm -2.5904 0.0269 0.2473
Pm -8.3153 1.8018 -2.0383
Pm -5.7871 -4.2086 -2.2652
Pm -2.6314 -2.5180 -2.5707
Pm -5.7093 1.7855 0.5410
Pm -0.0622 -5.9835 0.0205
```

The total magnetization is 0.000 μB/atom. The calculation puts the calculated volume at 388.8 Å³/cell.

***

(two)
Here is a relaxed structure of AcTb2Pm8 from Alexandria via LeMat-Bulk. Energies are from PBE.

```
11
Lattice="-1.9715 1.8802 4.4063 -6.9959 -4.0496 -1.4022 6.3134 -6.8414 2.6987" Properties=species:S:1:pos:R:3 pbc="T T T"
Ac -0.9858 0.9401 2.2032
Tb -0.6374 -3.7382 4.3553
Tb -2.0166 -5.2726 1.3476
Pm 0.5634 -6.9880 3.2339
Pm -5.3913 -4.9046 2.7260
Pm -2.8194 -6.5991 4.5998
Pm 1.9044 -5.5283 6.2564
Pm 0.1654 -2.4117 1.1031
Pm 2.7373 -4.1062 2.9769
Pm -3.2174 -2.0229 2.4690
Pm -4.5584 -3.4825 -0.5535
```

The total magnetization is 0.000 μB/atom. The calculation puts the calculated volume at 382.9 Å³/cell.

***

Which structure is the least stable? The one labeled (one).